A plane-wave DFT calculation with GGA-PBE was carried out for crystalline Sr2CdRh at its relaxed geometry.

Geometry as POSCAR:
```
Sr2CdRh
1.0
2.6428 -2.6480 0.0000
2.6428 2.6480 0.0000
0.0000 0.0000 8.0899
Sr Cd Rh
2 1 1
Direct
0.0000 0.0000 0.2160
0.0000 0.0000 0.7840
0.5000 0.5000 0.5000
0.5000 0.5000 0.0000
```

Its crystal system is orthorhombic. Its total energy is -0.1146 hartree per atom. The value obtained for the energy relative to the elements is -0.212 eV per atom. The calculation puts the density at 5.73 g cm⁻³.